(1)
NdTlAgAu | PBE | relaxed

Values from the calculation:
raw total energy = -3.718 eV/atom
ΔH_f (0 K) = -0.4021 eV/atom
SG = F-43m (216)

Structure (POSCAR):
```
NdTlAgAu
1.0
0.000 3.598 3.598
3.598 0.000 3.598
3.598 3.598 0.000
Nd Tl Ag Au
1 1 1 1
Direct
0.000 0.000 0.000 Nd
0.500 0.500 0.500 Tl
0.250 0.250 0.250 Ag
0.750 0.750 0.750 Au
```


(2)
Pm2Sn2Ru | PBE | relaxed

Values from the calculation:
raw total energy = -5.953 eV/atom
ΔH_f (0 K) = -0.5966 eV/atom
SG = C2/m (12)

Structure (POSCAR):
```
Pm2Sn2Ru
1.0
5.734 -2.301 0.000
5.734 2.301 0.000
-5.286 0.000 9.789
Pm Sn Ru
4 4 2
Direct
0.006 0.006 0.334 Pm
0.183 0.183 0.114 Pm
0.817 0.817 0.886 Pm
0.994 0.994 0.666 Pm
0.348 0.348 0.433 Sn
0.482 0.482 0.126 Sn
0.518 0.518 0.874 Sn
0.652 0.652 0.567 Sn
0.279 0.279 0.634 Ru
0.721 0.721 0.366 Ru
```


(3)
CdRuAu2 | PBE | relaxed

Values from the calculation:
raw total energy = -3.881 eV/atom
ΔH_f (0 K) = 0.3056 eV/atom
SG = F-43m (216)

Structure (POSCAR):
```
CdRuAu2
1.0
0.000 3.276 3.276
3.276 0.000 3.276
3.276 3.276 0.000
Cd Ru Au
1 1 2
Direct
0.000 0.000 0.000 Cd
0.750 0.750 0.750 Ru
0.250 0.250 0.250 Au
0.500 0.500 0.500 Au
```


(4)
La5Sc4Tl4 | PBE | relaxed

Values from the calculation:
raw total energy = -4.823 eV/atom
ΔH_f (0 K) = -0.2520 eV/atom
SG = I4/m (87)

Structure (POSCAR):
```
La5Sc4Tl4
1.0
-6.445 6.445 2.397
6.445 -6.445 2.397
6.445 6.445 -2.397
La Sc Tl
5 4 4
Direct
0.000 0.000 0.000 La
0.298 0.630 0.928 La
0.370 0.298 0.668 La
0.630 0.702 0.332 La
0.702 0.370 0.072 La
0.097 0.427 0.525 Sc
0.427 0.903 0.330 Sc
0.573 0.097 0.670 Sc
0.903 0.573 0.475 Sc
0.062 0.745 0.807 Tl
0.255 0.062 0.317 Tl
0.745 0.938 0.683 Tl
0.938 0.255 0.193 Tl
```


(5)
TiIrRh3 | PBE | relaxed

Values from the calculation:
raw total energy = -8.186 eV/atom
ΔH_f (0 K) = -0.4241 eV/atom
SG = C2/m (12)

Structure (POSCAR):
```
TiIrRh3
1.0
7.026 -1.926 0.000
7.026 1.926 0.000
-1.065 0.000 5.348
Ti Ir Rh
2 2 6
Direct
0.106 0.106 0.052 Ti
0.894 0.894 0.948 Ti
0.303 0.303 0.656 Ir
0.697 0.697 0.344 Ir
0.102 0.102 0.551 Rh
0.300 0.300 0.155 Rh
0.499 0.499 0.750 Rh
0.501 0.501 0.250 Rh
0.700 0.700 0.845 Rh
0.898 0.898 0.449 Rh
```


(6)
MnNi4H | PBE | relaxed

Values from the calculation:
raw total energy = -5.958 eV/atom
SG = C2/c (15)

Structure (POSCAR):
```
MnNi4H
1.0
5.598 -2.212 0.000
5.598 2.212 0.000
-1.377 0.000 4.767
Mn Ni H
2 8 2
Direct
0.099 0.901 0.750 Mn
0.901 0.099 0.250 Mn
0.111 0.289 0.652 Ni
0.289 0.111 0.152 Ni
0.315 0.489 0.055 Ni
0.489 0.315 0.555 Ni
0.511 0.685 0.445 Ni
0.685 0.511 0.945 Ni
0.711 0.889 0.848 Ni
0.889 0.711 0.348 Ni
0.000 0.500 0.000 H
0.500 0.000 0.500 H
```